Entry from Alexandria: a relaxed structure of Pm4Ir2Br3 (PBE-GGA).

The calculated volume is 547.00 Å³/cell. For the formation energy without anion corrections, the calculation gives -1.21 eV/atom.

It has space group C2/m (No. 12), with a = 7.111 Å, b = 4.105 Å, c = 18.739 Å, α = 90.00°, β = 90.04° and γ = 90.00°. Symmetry generates all atoms from Pm at (0.001, 0.000, 0.297), Pm at (0.166, 0.500, 0.872), Ir at (0.167, 0.500, 0.208), Br at (0.000, 0.000, 0.000) and Br at (0.166, 0.500, 0.600).

=====

Entry from Alexandria: a relaxed structure of Pm3Ir2Br (PBE-GGA).

The calculated volume is 146.13 Å³/cell. For the formation energy without anion corrections, the calculation gives -0.84 eV/atom.

It has space group P4/mmm (No. 123), with a = 3.527 Å, b = 3.527 Å, c = 11.745 Å, α = 90.00°, β = 90.00° and γ = 90.00°. Symmetry generates all atoms from Pm at (0.000, 0.000, 0.000), Pm at (0.000, 0.000, 0.295), Ir at (0.500, 0.500, 0.158) and Br at (0.500, 0.500, 0.500).

=====

Entry from Alexandria: a relaxed structure of Pm2IrBr3 (PBE-GGA).

The calculated volume is 777.34 Å³/cell. For the formation energy without anion corrections, the calculation gives -1.33 eV/atom.

It has space group C2/m (No. 12), with a = 18.148 Å, b = 4.203 Å, c = 12.572 Å, α = 90.00°, β = 125.84° and γ = 90.00°. Symmetry generates all atoms from Pm at (0.100, 0.000, 0.400), Pm at (0.124, 0.500, 0.814), Ir at (0.054, 0.000, 0.628), Br at (0.049, 0.500, 0.202), Br at (0.174, 0.000, 0.034) and Br at (0.215, 0.500, 0.597).

=====

Entry from Alexandria: a relaxed structure of PmPrIrBr (PBE-GGA).

The calculated volume is 354.77 Å³/cell. For the formation energy without anion corrections, the calculation gives -1.07 eV/atom.

It has space group R3m (No. 160, hexagonal axes), with a = 4.1599 Å, b = 4.1599 Å, c = 23.6733 Å, α = 90.00°, β = 90.00° and γ = 120.00°. Symmetry generates all atoms from Pm at (0.0000, 0.0000, 0.0000), Pr at (0.0000, 0.0000, 0.7949), Ir at (0.0000, 0.0000, 0.3963) and Br at (0.0000, 0.0000, 0.5676).

=====

Entry from Alexandria: a relaxed structure of Pm6Ir2PtBr3 (PBE-GGA).

The calculated volume is 695.69 Å³/cell. For the formation energy without anion corrections, the calculation gives -1.17 eV/atom.

It has space group C2/m (No. 12), with a = 7.208 Å, b = 12.480 Å, c = 8.099 Å, α = 90.00°, β = 107.26° and γ = 90.00°. Symmetry generates all atoms from Pm at (0.224, 0.000, 0.195), Pm at (0.236, 0.330, 0.195), Ir at (0.000, 0.167, 0.000), Pt at (0.000, 0.500, 0.000), Br at (0.000, 0.000, 0.500) and Br at (0.000, 0.332, 0.500).

=====

Entry from Alexandria: a relaxed structure of Pm6IrPt2Br3 (PBE-GGA).

The calculated volume is 701.60 Å³/cell. For the formation energy without anion corrections, the calculation gives -1.21 eV/atom.

It has space group C2/m (No. 12), with a = 19.600 Å, b = 4.185 Å, c = 9.100 Å, α = 90.00°, β = 109.95° and γ = 90.00°. Symmetry generates all atoms from Pm at (0.011, 0.000, 0.216), Pm at (0.152, 0.500, 0.109), Pm at (0.177, 0.500, 0.555), Ir at (0.000, 0.500, 0.000), Pt at (0.167, 0.000, 0.335), Br at (0.000, 0.500, 0.500) and Br at (0.167, 0.000, 0.832).

=====

Entry from Alexandria: a relaxed structure of Pm8Ir3PtBr4 (PBE-GGA).

The calculated volume is 1388.71 Å³/cell. For the formation energy without anion corrections, the calculation gives -1.15 eV/atom.

It has space group R-3m (No. 166, hexagonal axes), with a = 8.3213 Å, b = 8.3213 Å, c = 23.1579 Å, α = 90.00°, β = 90.00° and γ = 120.00°. Symmetry generates all atoms from Pm at (0.0000, 0.0000, 0.2316), Pm at (0.0062, 0.5031, 0.7684), Ir at (0.0000, 0.5000, 0.5000), Pt at (0.0000, 0.0000, 0.5000), Br at (0.0000, 0.0000, 0.0000) and Br at (0.0000, 0.5000, 0.0000).

=====

Entry from Alexandria: a relaxed structure of Pm8IrRh3Br4 (PBE-GGA).

The calculated volume is 909.43 Å³/cell. For the formation energy without anion corrections, the calculation gives -1.09 eV/atom.

It has space group C2/m (No. 12), with a = 14.226 Å, b = 8.213 Å, c = 9.120 Å, α = 90.00°, β = 121.41° and γ = 90.00°. Symmetry generates all atoms from Pm at (0.018, 0.249, 0.305), Pm at (0.231, 0.000, 0.695), Pm at (0.232, 0.500, 0.695), Ir at (0.000, 0.000, 0.500), Rh at (0.000, 0.500, 0.500), Rh at (0.250, 0.250, 0.500), Br at (0.000, 0.000, 0.000), Br at (0.000, 0.500, 0.000) and Br at (0.250, 0.250, 0.000).

=====

Entry from Alexandria: a relaxed structure of Pm4IrRhBr2 (PBE-GGA).

The calculated volume is 228.11 Å³/cell. For the formation energy without anion corrections, the calculation gives -1.10 eV/atom.

It has space group P2/m (No. 10), with a = 7.122 Å, b = 4.120 Å, c = 8.123 Å, α = 90.00°, β = 106.85° and γ = 90.00°. Symmetry generates all atoms from Pm at (0.230, 0.000, 0.195), Pm at (0.269, 0.500, 0.805), Ir at (0.000, 0.500, 0.000), Rh at (0.500, 0.000, 0.000), Br at (0.000, 0.000, 0.500) and Br at (0.500, 0.500, 0.500).

=====

Entry from Alexandria: a relaxed structure of Pm6IrRh2Br3 (PBE-GGA).

The calculated volume is 682.43 Å³/cell. For the formation energy without anion corrections, the calculation gives -1.09 eV/atom.

It has space group C2/m (No. 12), with a = 7.114 Å, b = 12.327 Å, c = 8.135 Å, α = 90.00°, β = 106.94° and γ = 90.00°. Symmetry generates all atoms from Pm at (0.231, 0.166, 0.195), Pm at (0.232, 0.500, 0.195), Ir at (0.000, 0.000, 0.000), Rh at (0.000, 0.333, 0.000), Br at (0.000, 0.167, 0.500) and Br at (0.000, 0.500, 0.500).

=====

Entry from Alexandria: a relaxed structure of Pm8IrRu3Br4 (PBE-GGA).

The calculated volume is 899.47 Å³/cell. For the formation energy without anion corrections, the calculation gives -0.85 eV/atom.

It has space group C2/m (No. 12), with a = 14.139 Å, b = 8.155 Å, c = 9.121 Å, α = 90.00°, β = 121.21° and γ = 90.00°. Symmetry generates all atoms from Pm at (0.019, 0.247, 0.304), Pm at (0.232, 0.000, 0.697), Pm at (0.234, 0.500, 0.696), Ir at (0.000, 0.500, 0.500), Ru at (0.000, 0.000, 0.500), Ru at (0.250, 0.250, 0.500), Br at (0.000, 0.000, 0.000), Br at (0.000, 0.500, 0.000) and Br at (0.250, 0.250, 0.000).

=====

Entry from Alexandria: a relaxed structure of Pm8Ir3RuBr4 (PBE-GGA).

The calculated volume is 1367.52 Å³/cell. For the formation energy without anion corrections, the calculation gives -1.02 eV/atom.

It has space group R-3m (No. 166, hexagonal axes), with a = 8.2263 Å, b = 8.2263 Å, c = 23.3366 Å, α = 90.00°, β = 90.00° and γ = 120.00°. Symmetry generates all atoms from Pm at (0.0000, 0.0000, 0.2311), Pm at (0.0039, 0.5020, 0.2318), Ir at (0.0000, 0.5000, 0.5000), Ru at (0.0000, 0.0000, 0.5000), Br at (0.0000, 0.0000, 0.0000) and Br at (0.0000, 0.5000, 0.0000).